--- A ---
Here is Hg2Bi5Pb12 after structural relaxation from Alexandria. Energies are from GGA-PBE.

Output
For the total moment, the calculation gives 0.00 μB per cell. The space-group type is C2/m, No. 12.

Structure (POSCAR):
```
Hg2Bi5Pb12
1.0
8.119 -4.721 0.000
8.119 4.721 0.000
-1.212 0.000 8.170
Hg Bi Pb
2 5 12
Direct
0.237 0.763 0.000
0.763 0.237 0.000
0.000 0.000 0.500
0.215 0.215 0.541
0.349 0.349 0.899
0.651 0.651 0.101
0.785 0.785 0.459
0.066 0.452 0.196
0.122 0.122 0.877
0.187 0.611 0.587
0.389 0.813 0.413
0.443 0.443 0.274
0.452 0.066 0.196
0.548 0.934 0.804
0.557 0.557 0.726
0.611 0.187 0.587
0.813 0.389 0.413
0.878 0.878 0.123
0.934 0.548 0.804
```


--- B ---
Here is Hg2Bi5Pb12 after structural relaxation from Alexandria. Energies are from GGA-PBE.

Output
For the total moment, the calculation gives 0.00 μB per cell. The space-group type is C2/m, No. 12.

Structure (POSCAR):
```
Hg2Bi5Pb12
1.0
11.321 -3.446 0.000
11.321 3.446 0.000
-2.957 0.000 7.889
Hg Bi Pb
2 5 12
Direct
0.246 0.754 0.000
0.754 0.246 0.000
0.000 0.000 0.500
0.243 0.243 0.477
0.344 0.344 0.909
0.656 0.656 0.091
0.757 0.757 0.523
0.046 0.555 0.205
0.141 0.141 0.075
0.160 0.641 0.617
0.359 0.840 0.383
0.445 0.954 0.795
0.450 0.450 0.296
0.550 0.550 0.704
0.555 0.046 0.205
0.641 0.160 0.617
0.840 0.359 0.383
0.859 0.859 0.925
0.954 0.445 0.795
```


B is favored, and the nearest alternative lies 0.5 kJ/mol of atoms above it.


--- A ---
Here is Hg4Bi2Pb5 after structural relaxation from Alexandria. Energies are from GGA-PBE.

Output
For the total moment, the calculation gives 0.00 μB per cell. The space-group type is Immm, No. 71.

Structure (POSCAR):
```
Hg4Bi2Pb5
1.0
-2.195 5.338 7.585
2.195 -5.338 7.585
2.195 5.338 -7.585
Hg Bi Pb
4 2 5
Direct
0.094 0.094 0.000
0.266 0.500 0.766
0.734 0.500 0.234
0.906 0.906 0.000
0.329 0.329 0.000
0.671 0.671 0.000
0.033 0.698 0.335
0.363 0.698 0.665
0.500 0.000 0.500
0.637 0.302 0.335
0.967 0.302 0.665
```


--- B ---
Here is Hg4Bi2Pb5 after structural relaxation from Alexandria. Energies are from GGA-PBE.

Output
For the total moment, the calculation gives 0.00 μB per cell. The space-group type is C2/m, No. 12.

Structure (POSCAR):
```
Hg4Bi2Pb5
1.0
5.752 -1.743 0.000
5.752 1.743 0.000
-2.796 0.000 16.411
Hg Bi Pb
4 2 5
Direct
0.013 0.013 0.181
0.219 0.219 0.739
0.781 0.781 0.261
0.987 0.987 0.819
0.443 0.443 0.642
0.557 0.557 0.358
0.146 0.146 0.548
0.253 0.253 0.094
0.500 0.500 0.000
0.747 0.747 0.906
0.854 0.854 0.452
```


B is favored, and the nearest alternative lies 4.1 kJ/mol of atoms above it.